Here is Rh3AuS after structural relaxation from the Alexandria database. Energies are from PBE.

ρ = 10.7 Mg/m³
crystal system = cubic
energy above the lowest structure with this stoichiometry = 0 meV/atom
uncorrected formation energy = 0.175 eV per atom

Unit cell a=4.369 b=4.369 c=4.369 alpha=90.00 beta=90.00 gamma=90.00
Atoms (fractional coordinates):
Rh: 0.000 0.000 0.500
Rh: 0.000 0.500 0.000
Rh: 0.500 0.000 0.000
Au: 0.500 0.500 0.500
S: 0.000 0.000 0.000



Here is La2EuRu after structural relaxation from the Alexandria database. Energies are from PBE.

ρ = 6.9 Mg/m³
crystal system = tetragonal
energy above the lowest structure with this stoichiometry = 60 meV/atom

Unit cell a=3.580 b=3.580 c=9.952 alpha=90.00 beta=90.00 gamma=90.00
Atoms (fractional coordinates):
La: 0.000 0.000 0.172
La: 0.000 0.000 0.828
Eu: 0.500 0.500 0.500
Ru: 0.500 0.500 0.000



Here is Pa2Sn2GeIr4 after structural relaxation from the Alexandria database. Energies are from PBE.

ρ = 13.4 Mg/m³
electronic total energy = -7.553 eV per atom
crystal system = tetragonal

Unit cell a=6.556 b=6.556 c=6.556 alpha=122.51 beta=122.51 gamma=85.71
Atoms (fractional coordinates):
Pa: 0.195 0.195 0.000
Pa: 0.805 0.805 0.000
Sn: 0.250 0.750 0.500
Sn: 0.750 0.250 0.500
Ge: 0.500 0.500 0.000
Ir: 0.226 0.226 0.453
Ir: 0.226 0.774 0.000
Ir: 0.774 0.226 0.000
Ir: 0.774 0.774 0.547



Here is PrThPb2 after structural relaxation from the Alexandria database. Energies are from PBE.

ρ = 10.8 Mg/m³
electronic total energy = -5.309 eV per atom
crystal system = tetragonal

Unit cell a=3.626 b=3.626 c=9.242 alpha=90.00 beta=90.00 gamma=90.00
Atoms (fractional coordinates):
Pr: 0.000 0.000 0.000
Th: 0.000 0.000 0.500
Pb: 0.500 0.500 0.250
Pb: 0.500 0.500 0.750



Here is LaZrBe2 after structural relaxation from the Alexandria database. Energies are from PBE.

ρ = 5.5 Mg/m³
crystal system = tetragonal
energy above the lowest structure with this stoichiometry = 358 meV/atom

Unit cell a=5.387 b=5.387 c=5.387 alpha=135.72 beta=135.72 gamma=64.42
Atoms (fractional coordinates):
La: 0.000 0.000 0.000
Zr: 0.250 0.750 0.500
Be: 0.500 0.500 0.000
Be: 0.750 0.250 0.500



Here is YZn3Si after structural relaxation from the Alexandria database. Energies are from PBE.

ρ = 5.0 Mg/m³
crystal system = cubic
energy above the lowest structure with this stoichiometry = 0 meV/atom
uncorrected formation energy = 0.172 eV per atom

Unit cell a=4.701 b=4.701 c=4.701 alpha=90.00 beta=90.00 gamma=90.00
Atoms (fractional coordinates):
Y: 0.000 0.000 0.000
Zn: 0.000 0.500 0.500
Zn: 0.500 0.000 0.500
Zn: 0.500 0.500 0.000
Si: 0.500 0.500 0.500



Here is ZnW5 after structural relaxation from the Alexandria database. Energies are from PBE.

ρ = 16.9 Mg/m³
crystal system = orthorhombic
energy above the lowest structure with this stoichiometry = 184 meV/atom

Unit cell a=4.674 b=7.922 c=7.922 alpha=19.24 beta=90.00 gamma=90.00
Atoms (fractional coordinates):
Zn: 0.000 0.000 0.000
W: 0.000 0.333 0.333
W: 0.000 0.660 0.660
W: 0.500 0.233 0.233
W: 0.500 0.564 0.564
W: 0.500 0.900 0.900